VASP calculation (GGA-PBE) on a geometry-optimized ReIr2 structure.

Values from the calculation:
Spin magnetization, Bohr magnetons per cell: 0.00
DOS at the Fermi energy, states/eV/cell: 2.83
Symmetry: P-3m1
Energy of formation from the pure elements, eV per atom: -0.114
Excess energy over the best structure of this formula in the dataset, eV per atom: 0.117

CIF file:
```
data_ReIr2
_cell_length_a 2.738
_cell_length_b 2.738
_cell_length_c 6.770
_cell_angle_alpha 90.00
_cell_angle_beta 90.00
_cell_angle_gamma 120.00
_space_group_name_H-M_alt 'P 1'
_space_group_IT_number 1
loop_
_space_group_symop_operation_xyz
'x,y,z'
loop_
_atom_site_label
_atom_site_fract_x
_atom_site_fract_y
_atom_site_fract_z
_atom_site_occupancy
Ir1 0.000 0.000 0.007 1
Ir2 0.333 0.667 0.659 1
Re1 0.667 0.333 0.333 1
```

---

VASP calculation (GGA-PBE) on a geometry-optimized ReIr2 structure.

Values from the calculation:
Spin magnetization, Bohr magnetons per cell: 0.00
DOS at the Fermi energy, states/eV/cell: 4.87
Symmetry: Cm
Energy of formation from the pure elements, eV per atom: -0.140
Excess energy over the best structure of this formula in the dataset, eV per atom: 0.091

CIF file:
```
data_ReIr2
_cell_length_a 2.759
_cell_length_b 5.218
_cell_length_c 6.503
_cell_angle_alpha 76.45
_cell_angle_beta 90.00
_cell_angle_gamma 105.33
_space_group_name_H-M_alt 'P 1'
_space_group_IT_number 1
loop_
_space_group_symop_operation_xyz
'x,y,z'
loop_
_atom_site_label
_atom_site_fract_x
_atom_site_fract_y
_atom_site_fract_z
_atom_site_occupancy
Ir1 0.004 0.009 0.002 1
Ir2 0.389 0.778 0.725 1
Ir3 0.664 0.329 0.663 1
Ir4 0.331 0.662 0.333 1
Re1 0.054 0.108 0.388 1
Re2 0.724 0.448 0.055 1
```

---

VASP calculation (GGA-PBE) on a geometry-optimized ReIr2 structure.

Values from the calculation:
Spin magnetization, Bohr magnetons per cell: 0.00
DOS at the Fermi energy, states/eV/cell: 9.98
Symmetry: P6_3/mmc
Energy of formation from the pure elements, eV per atom: 0.450
Excess energy over the best structure of this formula in the dataset, eV per atom: 0.681

CIF file:
```
data_ReIr2
_cell_length_a 5.098
_cell_length_b 5.098
_cell_length_c 8.283
_cell_angle_alpha 90.00
_cell_angle_beta 90.00
_cell_angle_gamma 120.00
_space_group_name_H-M_alt 'P 1'
_space_group_IT_number 1
loop_
_space_group_symop_operation_xyz
'x,y,z'
loop_
_atom_site_label
_atom_site_fract_x
_atom_site_fract_y
_atom_site_fract_z
_atom_site_occupancy
Re1 0.333 0.667 0.091 1
Re2 0.333 0.667 0.409 1
Re3 0.667 0.333 0.591 1
Re4 0.667 0.333 0.909 1
Ir1 0.000 0.000 0.000 1
Ir2 0.000 0.000 0.500 1
Ir3 0.170 0.341 0.750 1
Ir4 0.170 0.830 0.750 1
Ir5 0.341 0.170 0.250 1
Ir6 0.659 0.830 0.750 1
Ir7 0.830 0.170 0.250 1
Ir8 0.830 0.659 0.250 1
```

---

VASP calculation (GGA-PBE) on a geometry-optimized ReIr2 structure.

Values from the calculation:
Spin magnetization, Bohr magnetons per cell: 0.00
DOS at the Fermi energy, states/eV/cell: 3.01
Symmetry: Immm
Energy of formation from the pure elements, eV per atom: 0.145
Excess energy over the best structure of this formula in the dataset, eV per atom: 0.376

CIF file:
```
data_ReIr2
_cell_length_a 4.486
_cell_length_b 4.597
_cell_length_c 2.722
_cell_angle_alpha 107.16
_cell_angle_beta 90.00
_cell_angle_gamma 119.20
_space_group_name_H-M_alt 'P 1'
_space_group_IT_number 1
loop_
_space_group_symop_operation_xyz
'x,y,z'
loop_
_atom_site_label
_atom_site_fract_x
_atom_site_fract_y
_atom_site_fract_z
_atom_site_occupancy
Ir1 0.694 0.388 0.195 1
Ir2 0.306 0.612 0.805 1
Re1 0.000 0.000 0.000 1
```

---

VASP calculation (GGA-PBE) on a geometry-optimized ReIr structure.

Values from the calculation:
Spin magnetization, Bohr magnetons per cell: 0.00
DOS at the Fermi energy, states/eV/cell: 1.69
Symmetry: Cmcm
Energy of formation from the pure elements, eV per atom: -0.097
Excess energy over the best structure of this formula in the dataset, eV per atom: 0.180

CIF file:
```
data_ReIr
_cell_length_a 2.717
_cell_length_b 5.306
_cell_length_c 4.252
_cell_angle_alpha 90.00
_cell_angle_beta 90.00
_cell_angle_gamma 104.84
_space_group_name_H-M_alt 'P 1'
_space_group_IT_number 1
loop_
_space_group_symop_operation_xyz
'x,y,z'
loop_
_atom_site_label
_atom_site_fract_x
_atom_site_fract_y
_atom_site_fract_z
_atom_site_occupancy
Ir1 0.427 0.854 0.250 1
Ir2 0.573 0.146 0.750 1
Re1 0.169 0.339 0.250 1
Re2 0.831 0.661 0.750 1
```

---

VASP calculation (GGA-PBE) on a geometry-optimized ReIr2 structure.

Values from the calculation:
Spin magnetization, Bohr magnetons per cell: 0.00
DOS at the Fermi energy, states/eV/cell: 2.05
Symmetry: P-3m1
Energy of formation from the pure elements, eV per atom: 0.876
Excess energy over the best structure of this formula in the dataset, eV per atom: 1.107

CIF file:
```
data_ReIr2
_cell_length_a 3.403
_cell_length_b 3.403
_cell_length_c 5.186
_cell_angle_alpha 90.00
_cell_angle_beta 90.00
_cell_angle_gamma 120.00
_space_group_name_H-M_alt 'P 1'
_space_group_IT_number 1
loop_
_space_group_symop_operation_xyz
'x,y,z'
loop_
_atom_site_label
_atom_site_fract_x
_atom_site_fract_y
_atom_site_fract_z
_atom_site_occupancy
Ir1 0.333 0.667 0.298 1
Ir2 0.667 0.333 0.702 1
Re1 0.000 0.000 0.000 1
```